Arrangement one

Material: Sm3AlAg
Method: DFT, GGA-PBE
State: optimized geometry

Unit cell a=5.2486 b=5.2543 c=10.2894 alpha=90.00 beta=75.22 gamma=90.00
Element x y z (fractional)
Ag 0.1651 0.2500 0.3181
Ag 0.4832 0.7500 0.6819
Al 0.9791 0.2500 0.6901
Al 0.6692 0.7500 0.3099
Sm 0.3920 0.2500 0.8643
Sm 0.7624 0.2500 0.1235
Sm 0.0721 0.7500 0.5041
Sm 0.2563 0.7500 0.1357
Sm 0.5762 0.2500 0.4959
Sm 0.8859 0.7500 0.8765

=====

Arrangement two

Material: Sm3AlAg
Method: DFT, GGA-PBE
State: optimized geometry

Unit cell a=8.3359 b=8.3359 c=10.5564 alpha=88.59 beta=88.59 gamma=50.09
Element x y z (fractional)
Sm 0.3622 0.3923 0.3378
Sm 0.2450 0.8485 0.9230
Sm 0.8485 0.2450 0.4230
Sm 0.6077 0.6378 0.1622
Sm 0.7550 0.1515 0.0770
Sm 0.1515 0.7550 0.5770
Sm 0.8551 0.7677 0.8295
Sm 0.2323 0.1449 0.6705
Sm 0.1449 0.2323 0.1705
Sm 0.3923 0.3622 0.8378
Sm 0.6378 0.6077 0.6622
Sm 0.7677 0.8551 0.3295
Al 0.6276 0.1075 0.5861
Al 0.8925 0.3724 0.9139
Al 0.1075 0.6276 0.0861
Al 0.3724 0.8925 0.4139
Ag 0.1484 0.8516 0.2500
Ag 0.5000 0.0000 0.0000
Ag 0.0000 0.5000 0.5000
Ag 0.8516 0.1484 0.7500

=====

The structure with the least stability is arrangement two.